(1)
A plane-wave DFT calculation with PBE-GGA was carried out for a relaxed structure of Ni21P6Pd2.

Values from the calculation:
- DOS at the Fermi energy (states/eV per atom) = 0.85
- calculated formation energy (eV/atom) = -0.3292
- calculated volume (Å³/f.u.) = 337.3
- DFT total energy (eV/atom) = -5.993

```
data_Ni21P6Pd2
_chemical_formula_sum 'Ni84 P24 Pd8'
_symmetry_space_group_name_H-M 'F m -3 m'
_symmetry_Int_Tables_number 225
_symmetry_space_group_name_Hall '-F 4 2 3'
_cell_length_a 11.0498
_cell_length_b 11.0498
_cell_length_c 11.0498
_cell_angle_alpha 90.00
_cell_angle_beta 90.00
_cell_angle_gamma 90.00
loop_
_atom_site_label
_atom_site_type_symbol
_atom_site_fract_x
_atom_site_fract_y
_atom_site_fract_z
Ni1 Ni 0.0000 0.0000 0.0000
Ni2 Ni 0.0000 0.1729 0.1729
Ni3 Ni 0.1173 0.1173 0.3827
P1 P 0.0000 0.0000 0.2659
Pd1 Pd 0.2500 0.2500 0.2500
```

=====

(2)
A plane-wave DFT calculation with PBE-GGA was carried out for a relaxed structure of NiPPd2.

Values from the calculation:
- DOS at the Fermi energy (states/eV per atom) = 0.44
- calculated formation energy (eV/atom) = -0.0884
- calculated volume (Å³/f.u.) = 59.7
- DFT total energy (eV/atom) = -5.483

```
data_NiPPd2
_chemical_formula_sum 'Ni4 P4 Pd8'
_symmetry_space_group_name_H-M 'I -4 2 d'
_symmetry_Int_Tables_number 122
_symmetry_space_group_name_Hall 'I -4 2bw'
_cell_length_a 6.9738
_cell_length_b 6.9738
_cell_length_c 4.9076
_cell_angle_alpha 90.00
_cell_angle_beta 90.00
_cell_angle_gamma 90.00
loop_
_atom_site_label
_atom_site_type_symbol
_atom_site_fract_x
_atom_site_fract_y
_atom_site_fract_z
Ni1 Ni 0.0000 0.0000 0.0000
P1 P 0.0000 0.0000 0.5000
Pd1 Pd 0.1925 0.2500 0.6250
```

=====

(3)
A plane-wave DFT calculation with PBE-GGA was carried out for a relaxed structure of Ni2P2Pd.

Values from the calculation:
- DOS at the Fermi energy (states/eV per atom) = 0.90
- energy above the most stable polymorph in this dataset (eV per atom) = 0.0000
- calculated formation energy (eV/atom) = -0.2385
- calculated volume (Å³/f.u.) = 62.9
- DFT total energy (eV/atom) = -5.754

```
data_Ni2P2Pd
_chemical_formula_sum 'Ni4 P4 Pd2'
_symmetry_space_group_name_H-M 'P 4/m b m'
_symmetry_Int_Tables_number 127
_symmetry_space_group_name_Hall '-P 4 2ab'
_cell_length_a 6.6840
_cell_length_b 6.6840
_cell_length_c 2.8176
_cell_angle_alpha 90.00
_cell_angle_beta 90.00
_cell_angle_gamma 90.00
loop_
_atom_site_label
_atom_site_type_symbol
_atom_site_fract_x
_atom_site_fract_y
_atom_site_fract_z
Ni1 Ni 0.1360 0.3640 0.0000
P1 P 0.1593 0.6593 0.5000
Pd1 Pd 0.0000 0.0000 0.5000
```

=====

Question: Look up the calculated formation energy of the second one.
Answer: -0.0884 eV/atom

=====

Please write out number 2 again, unchanged.
A plane-wave DFT calculation with PBE-GGA was carried out for a relaxed structure of NiPPd2.

Values from the calculation:
- DOS at the Fermi energy (states/eV per atom) = 0.44
- calculated formation energy (eV/atom) = -0.0884
- calculated volume (Å³/f.u.) = 59.7
- DFT total energy (eV/atom) = -5.483

```
data_NiPPd2
_chemical_formula_sum 'Ni4 P4 Pd8'
_symmetry_space_group_name_H-M 'I -4 2 d'
_symmetry_Int_Tables_number 122
_symmetry_space_group_name_Hall 'I -4 2bw'
_cell_length_a 6.9738
_cell_length_b 6.9738
_cell_length_c 4.9076
_cell_angle_alpha 90.00
_cell_angle_beta 90.00
_cell_angle_gamma 90.00
loop_
_atom_site_label
_atom_site_type_symbol
_atom_site_fract_x
_atom_site_fract_y
_atom_site_fract_z
Ni1 Ni 0.0000 0.0000 0.0000
P1 P 0.0000 0.0000 0.5000
Pd1 Pd 0.1925 0.2500 0.6250
```

=====

Question: Look up the calculated volume of the third one.
Answer: 62.9 Å³/f.u.

=====

Question: What is the formula in the second record?
Answer: NiPPd2